(1)
Entry from Alexandria: an optimized crystal structure of CrTe2Os (GGA-PBE).

abc: 4.639 4.639 4.639
angles: 60.00 60.00 60.00
Positions (direct):
Cr 0.000 0.000 0.000
Te 0.250 0.250 0.250
Te 0.750 0.750 0.750
Os 0.500 0.500 0.500

Summary:
raw total energy = -6.077 eV/atom
ΔE to the lowest computed polymorph = 2.27 eV per formula unit
raw formation energy = 273 kJ/mol of formula units
density of states at the Fermi level = 3.545 states/eV/cell
total magnetic moment = 0.0 μB/f.u.

(2)
Entry from Alexandria: an optimized crystal structure of CrTe2Os (GGA-PBE).

abc: 5.652 5.652 5.652
angles: 138.75 138.75 59.76
Positions (direct):
Cr 0.500 0.500 0.000
Os 0.750 0.250 0.500
Te 0.000 0.000 0.000
Te 0.250 0.750 0.500

Summary:
raw total energy = -5.985 eV/atom
ΔE to the lowest computed polymorph = 2.64 eV per formula unit
raw formation energy = 308 kJ/mol of formula units
density of states at the Fermi level = 2.871 states/eV/cell
total magnetic moment = 3.1 μB/f.u.

(3)
Entry from Alexandria: an optimized crystal structure of CrTe2Os (GGA-PBE).

abc: 6.703 6.703 6.703
angles: 152.25 142.89 46.96
Positions (direct):
Cr 0.433 0.433 0.000
Os 0.233 0.733 0.500
Te 0.049 0.049 0.000
Te 0.784 0.284 0.500

Summary:
raw total energy = -6.254 eV/atom
ΔE to the lowest computed polymorph = 1.56 eV per formula unit
raw formation energy = 205 kJ/mol of formula units
density of states at the Fermi level = 2.483 states/eV/cell
total magnetic moment = 3.5 μB/f.u.

(4)
Entry from Alexandria: an optimized crystal structure of Cr2TeOs (GGA-PBE).

abc: 3.039 3.039 6.498
angles: 90.00 90.00 90.00
Positions (direct):
Cr 0.000 0.000 0.023
Cr 0.500 0.500 0.244
Os 0.000 0.000 0.457
Te 0.500 0.500 0.776

Summary:
raw total energy = -7.904 eV/atom
raw formation energy = 193 kJ/mol of formula units
density of states at the Fermi level = 2.499 states/eV/cell
total magnetic moment = 0.0 μB/f.u.

(5)
Entry from Alexandria: an optimized crystal structure of CrTeOs (GGA-PBE).

abc: 4.731 4.731 4.731
angles: 141.68 129.54 65.09
Positions (direct):
Cr 0.010 0.010 0.000
Os 0.659 0.659 0.000
Te 0.331 0.331 0.000

Summary:
raw total energy = -7.281 eV/atom
ΔE to the lowest computed polymorph = 2.03 eV per formula unit
raw formation energy = 208 kJ/mol of formula units
density of states at the Fermi level = 3.624 states/eV/cell
total magnetic moment = 2.2 μB/f.u.

(6)
Entry from Alexandria: an optimized crystal structure of CrTe2Os (GGA-PBE).

abc: 6.060 6.060 7.419
angles: 65.89 65.89 90.00
Positions (direct):
Cr 0.500 0.500 0.000
Cr 0.250 0.750 0.500
Te 0.643 0.125 0.250
Te 0.107 0.625 0.250
Te 0.375 0.357 0.750
Te 0.875 0.893 0.750
Os 0.000 0.000 0.000
Os 0.750 0.250 0.500

Summary:
raw total energy = -6.208 eV/atom
ΔE to the lowest computed polymorph = 1.75 eV per formula unit
raw formation energy = 222 kJ/mol of formula units
density of states at the Fermi level = 5.374 states/eV/cell
total magnetic moment = 3.5 μB/f.u.

(7)
Entry from Alexandria: an optimized crystal structure of Cr2TeOs (GGA-PBE).

abc: 5.060 5.060 5.060
angles: 144.03 128.58 64.34
Positions (direct):
Cr 0.012 0.012 0.000
Cr 0.488 0.488 0.000
Os 0.750 0.250 0.500
Te 0.250 0.750 0.500

Summary:
raw total energy = -7.779 eV/atom
raw formation energy = 242 kJ/mol of formula units
density of states at the Fermi level = 4.318 states/eV/cell
total magnetic moment = 0.0 μB/f.u.

(8)
Entry from Alexandria: an optimized crystal structure of CrTe4Os (GGA-PBE).

abc: 6.173 6.173 6.173
angles: 60.00 60.00 60.00
Positions (direct):
Cr 0.750 0.750 0.750
Te 0.877 0.374 0.374
Te 0.374 0.374 0.877
Te 0.374 0.877 0.374
Te 0.374 0.374 0.374
Os 0.000 0.000 0.000

Summary:
raw total energy = -3.984 eV/atom
raw formation energy = 918 kJ/mol of formula units
density of states at the Fermi level = 9.240 states/eV/cell
total magnetic moment = 7.5 μB/f.u.

(9)
Entry from Alexandria: an optimized crystal structure of Cr2TeOs (GGA-PBE).

abc: 6.264 4.645 3.015
angles: 90.01 61.21 121.20
Positions (direct):
Cr 0.000 0.000 0.000
Cr 0.500 0.000 0.500
Os 0.000 0.500 0.500
Te 0.500 0.500 0.000

Summary:
raw total energy = -7.873 eV/atom
raw formation energy = 205 kJ/mol of formula units
density of states at the Fermi level = 4.080 states/eV/cell
total magnetic moment = 4.7 μB/f.u.

(10)
Entry from Alexandria: an optimized crystal structure of CrTe2Os (GGA-PBE).

abc: 3.089 3.089 8.667
angles: 90.00 90.00 90.00
Positions (direct):
Cr 0.000 0.000 0.524
Os 0.500 0.500 0.721
Te 0.000 0.000 0.914
Te 0.500 0.500 0.341

Summary:
raw total energy = -6.378 eV/atom
ΔE to the lowest computed polymorph = 1.07 eV per formula unit
raw formation energy = 157 kJ/mol of formula units
density of states at the Fermi level = 3.918 states/eV/cell
total magnetic moment = 0.0 μB/f.u.

(11)
Entry from Alexandria: an optimized crystal structure of Cr2TeOs (GGA-PBE).

abc: 6.045 6.045 6.753
angles: 63.41 63.41 90.00
Positions (direct):
Cr 0.667 0.125 0.250
Cr 0.083 0.625 0.250
Cr 0.375 0.333 0.750
Cr 0.875 0.917 0.750
Te 0.500 0.500 0.000
Te 0.250 0.750 0.500
Os 0.000 0.000 0.000
Os 0.750 0.250 0.500

Summary:
raw total energy = -7.467 eV/atom
raw formation energy = 362 kJ/mol of formula units
density of states at the Fermi level = 9.088 states/eV/cell
total magnetic moment = 5.5 μB/f.u.

(12)
Entry from Alexandria: an optimized crystal structure of CrTe2Os (GGA-PBE).

abc: 8.195 8.195 8.195
angles: 22.81 22.81 22.81
Positions (direct):
Cr 0.250 0.250 0.250
Os 0.750 0.750 0.750
Te 0.997 0.997 0.997
Te 0.503 0.503 0.503

Summary:
raw total energy = -6.093 eV/atom
ΔE to the lowest computed polymorph = 2.21 eV per formula unit
raw formation energy = 267 kJ/mol of formula units
density of states at the Fermi level = 3.218 states/eV/cell
total magnetic moment = 0.9 μB/f.u.

(13)
Entry from Alexandria: an optimized crystal structure of CrTe2Os (GGA-PBE).

abc: 8.827 8.827 8.827
angles: 21.19 21.19 21.19
Positions (direct):
Cr 0.500 0.500 0.500
Te 0.902 0.902 0.902
Te 0.098 0.098 0.098
Os 0.000 0.000 0.000

Summary:
raw total energy = -6.050 eV/atom
ΔE to the lowest computed polymorph = 2.38 eV per formula unit
raw formation energy = 283 kJ/mol of formula units
density of states at the Fermi level = 3.217 states/eV/cell
total magnetic moment = 0.0 μB/f.u.

(14)
Entry from Alexandria: an optimized crystal structure of Cr2TeOs (GGA-PBE).

abc: 4.794 4.794 4.794
angles: 132.17 132.17 69.97
Positions (direct):
Cr 0.000 0.000 0.000
Cr 0.250 0.750 0.500
Os 0.500 0.500 0.000
Te 0.750 0.250 0.500

Summary:
raw total energy = -7.859 eV/atom
raw formation energy = 210 kJ/mol of formula units
density of states at the Fermi level = 4.646 states/eV/cell
total magnetic moment = 3.4 μB/f.u.